<1>
# Be2Ir2O5 | OQMD | PBE | optimized geometry
data_Be2Ir2O5
_chemical_formula_sum 'Be2 Ir2 O5'
_cell_length_a 3.843
_cell_length_b 3.843
_cell_length_c 6.757
_cell_angle_alpha 90.00
_cell_angle_beta 90.00
_cell_angle_gamma 90.00
_space_group_name_H-M_alt 'P 4/m m m'
_space_group_IT_number 123
_space_group_name_Hall '-P 4 2'
loop_
_atom_site_label
_atom_site_fract_x
_atom_site_fract_y
_atom_site_fract_z
Be1 0.000 0.000 0.000
Be2 0.000 0.000 0.500
Ir1 0.500 0.500 0.184
O1 0.000 0.500 0.178
O2 0.500 0.500 0.500
# Total moment, μB per cell: 0.1

***

<2>
# Be2Ir2O5 | OQMD | PBE | optimized geometry
data_Be2Ir2O5
_chemical_formula_sum 'Be2 Ir2 O5'
_cell_length_a 3.346
_cell_length_b 3.346
_cell_length_c 7.050
_cell_angle_alpha 90.00
_cell_angle_beta 90.00
_cell_angle_gamma 90.00
_space_group_name_H-M_alt 'P 4/m m m'
_space_group_IT_number 123
_space_group_name_Hall '-P 4 2'
loop_
_atom_site_label
_atom_site_fract_x
_atom_site_fract_y
_atom_site_fract_z
Be1 0.000 0.000 0.241
Ir1 0.500 0.500 0.000
Ir2 0.500 0.500 0.500
O1 0.000 0.000 0.000
O2 0.000 0.500 0.324
# Total moment, μB per cell: 1.1

***

The data favor <2>; the next most stable structure lies 0.741 eV/atom above it.

***

<1>
# BePIrO | OQMD | PBE | optimized geometry
data_BePIrO
_chemical_formula_sum 'Be2 P2 Ir2 O2'
_cell_length_a 3.682
_cell_length_b 3.682
_cell_length_c 8.098
_cell_angle_alpha 90.00
_cell_angle_beta 90.00
_cell_angle_gamma 90.00
_space_group_name_H-M_alt 'P 4/n m m'
_space_group_IT_number 129
loop_
_space_group_symop_operation_xyz
'x,y,z'
'-x,-y,-z'
'-y+1/2,x,z'
'y+1/2,-x,-z'
'-x+1/2,-y+1/2,z'
'x+1/2,y+1/2,-z'
'y,-x+1/2,z'
'-y,x+1/2,-z'
'x+1/2,-y,-z'
'-x+1/2,y,z'
'-y,-x,-z'
'y,x,z'
'-x,y+1/2,-z'
'x,-y+1/2,z'
'y+1/2,x+1/2,-z'
'-y+1/2,-x+1/2,z'
loop_
_atom_site_label
_atom_site_fract_x
_atom_site_fract_y
_atom_site_fract_z
Be1 0.250 0.250 0.016
P1 0.250 0.250 0.323
Ir1 0.250 0.750 0.500
O1 0.250 0.750 0.000
# Total moment, μB per cell: 0.0

***

<2>
# BePIrO | OQMD | PBE | optimized geometry
data_BePIrO
_chemical_formula_sum 'Be2 P2 Ir2 O2'
_cell_length_a 2.832
_cell_length_b 7.063
_cell_length_c 4.831
_cell_angle_alpha 90.00
_cell_angle_beta 90.00
_cell_angle_gamma 90.00
_space_group_name_H-M_alt 'P m c 21'
_space_group_IT_number 26
loop_
_space_group_symop_operation_xyz
'x,y,z'
'-x,-y,z+1/2'
'-x,y,z'
'x,-y,z+1/2'
loop_
_atom_site_label
_atom_site_fract_x
_atom_site_fract_y
_atom_site_fract_z
Be1 0.000 0.077 0.000
P1 0.500 0.312 0.838
Ir1 0.500 0.377 0.370
O1 0.000 0.094 0.313
# Total moment, μB per cell: 0.0

***

<3>
# BePIrO | OQMD | PBE | optimized geometry
data_BePIrO
_chemical_formula_sum 'Be2 P2 Ir2 O2'
_cell_length_a 3.470
_cell_length_b 3.470
_cell_length_c 7.332
_cell_angle_alpha 90.00
_cell_angle_beta 90.00
_cell_angle_gamma 90.00
_space_group_name_H-M_alt 'P 4/n m m'
_space_group_IT_number 129
loop_
_space_group_symop_operation_xyz
'x,y,z'
'-x,-y,-z'
'-y+1/2,x,z'
'y+1/2,-x,-z'
'-x+1/2,-y+1/2,z'
'x+1/2,y+1/2,-z'
'y,-x+1/2,z'
'-y,x+1/2,-z'
'x+1/2,-y,-z'
'-x+1/2,y,z'
'-y,-x,-z'
'y,x,z'
'-x,y+1/2,-z'
'x,-y+1/2,z'
'y+1/2,x+1/2,-z'
'-y+1/2,-x+1/2,z'
loop_
_atom_site_label
_atom_site_fract_x
_atom_site_fract_y
_atom_site_fract_z
Be1 0.250 0.750 0.000
P1 0.250 0.250 0.200
Ir1 0.250 0.250 0.688
O1 0.250 0.750 0.500
# Total moment, μB per cell: 0.0

***

The data favor <1>; the next most stable structure lies 0.255 eV/atom above it.

***

<1>
# Be2IrPd | OQMD | PBE | optimized geometry
data_Be2IrPd
_chemical_formula_sum 'Be2 Ir1 Pd1'
_cell_length_a 2.822
_cell_length_b 2.822
_cell_length_c 5.607
_cell_angle_alpha 90.00
_cell_angle_beta 90.00
_cell_angle_gamma 90.00
_space_group_name_H-M_alt 'P 4/m m m'
_space_group_IT_number 123
_space_group_name_Hall '-P 4 2'
loop_
_atom_site_label
_atom_site_fract_x
_atom_site_fract_y
_atom_site_fract_z
Be1 0.000 0.000 0.230
Ir1 0.500 0.500 0.000
Pd1 0.500 0.500 0.500
# Total moment, μB per cell: 0.0

***

<2>
# Be2IrPd | OQMD | PBE | optimized geometry
data_Be2IrPd
_chemical_formula_sum 'Be8 Ir4 Pd4'
_cell_length_a 5.613
_cell_length_b 5.613
_cell_length_c 5.613
_cell_angle_alpha 90.00
_cell_angle_beta 90.00
_cell_angle_gamma 90.00
_space_group_name_H-M_alt 'F m -3 m'
_space_group_IT_number 225
_space_group_name_Hall '-F 4 2 3'
loop_
_atom_site_label
_atom_site_fract_x
_atom_site_fract_y
_atom_site_fract_z
Be1 0.250 0.250 0.250
Ir1 0.000 0.000 0.000
Pd1 0.000 0.000 0.500
# Total moment, μB per cell: 0.0

***

<3>
# Be2IrPd | OQMD | PBE | optimized geometry
data_Be2IrPd
_chemical_formula_sum 'Be8 Ir4 Pd4'
_cell_length_a 5.829
_cell_length_b 5.829
_cell_length_c 5.829
_cell_angle_alpha 90.00
_cell_angle_beta 90.00
_cell_angle_gamma 90.00
_space_group_name_H-M_alt 'F -4 3 m'
_space_group_IT_number 216
_space_group_name_Hall 'F -4 2 3'
loop_
_atom_site_label
_atom_site_fract_x
_atom_site_fract_y
_atom_site_fract_z
Be1 0.000 0.000 0.000
Be2 0.250 0.250 0.250
Ir1 0.250 0.250 0.750
Pd1 0.000 0.000 0.500
# Total moment, μB per cell: 0.0

***

The data favor <1>; the next most stable structure lies 0.038 eV/atom above it.

***

<1>
# Be2IrPd | OQMD | PBE | optimized geometry
data_Be2IrPd
_chemical_formula_sum 'Be8 Ir4 Pd4'
_cell_length_a 5.613
_cell_length_b 5.613
_cell_length_c 5.613
_cell_angle_alpha 90.00
_cell_angle_beta 90.00
_cell_angle_gamma 90.00
_space_group_name_H-M_alt 'F m -3 m'
_space_group_IT_number 225
_space_group_name_Hall '-F 4 2 3'
loop_
_atom_site_label
_atom_site_fract_x
_atom_site_fract_y
_atom_site_fract_z
Be1 0.250 0.250 0.250
Ir1 0.000 0.000 0.000
Pd1 0.000 0.000 0.500
# Total moment, μB per cell: 0.0

***

<2>
# Be2IrPd | OQMD | PBE | optimized geometry
data_Be2IrPd
_chemical_formula_sum 'Be8 Ir4 Pd4'
_cell_length_a 5.587
_cell_length_b 5.682
_cell_length_c 5.585
_cell_angle_alpha 90.00
_cell_angle_beta 90.00
_cell_angle_gamma 90.00
_space_group_name_H-M_alt 'I m m a'
_space_group_IT_number 74
_space_group_name_Hall '-I 2b 2'
loop_
_atom_site_label
_atom_site_fract_x
_atom_site_fract_y
_atom_site_fract_z
Be1 0.250 0.000 0.250
Ir1 0.000 0.250 0.001
Pd1 0.000 0.250 0.501
# Total moment, μB per cell: 0.0

***

The data favor <2>; the next most stable structure lies 0.021 eV/atom above it.

***

<1>
# PmBeIr | OQMD | PBE | optimized geometry
data_PmBeIr
_chemical_formula_sum 'Pm4 Be4 Ir4'
_cell_length_a 6.505
_cell_length_b 6.505
_cell_length_c 6.505
_cell_angle_alpha 90.00
_cell_angle_beta 90.00
_cell_angle_gamma 90.00
_space_group_name_H-M_alt 'F -4 3 m'
_space_group_IT_number 216
_space_group_name_Hall 'F -4 2 3'
loop_
_atom_site_label
_atom_site_fract_x
_atom_site_fract_y
_atom_site_fract_z
Pm1 0.000 0.000 0.000
Be1 0.250 0.250 0.750
Ir1 0.250 0.250 0.250
# Total moment, μB per cell: 0.0

***

<2>
# PmBeIr | OQMD | PBE | optimized geometry
data_PmBeIr
_chemical_formula_sum 'Pm4 Be4 Ir4'
_cell_length_a 6.367
_cell_length_b 6.367
_cell_length_c 6.367
_cell_angle_alpha 90.00
_cell_angle_beta 90.00
_cell_angle_gamma 90.00
_space_group_name_H-M_alt 'F -4 3 m'
_space_group_IT_number 216
_space_group_name_Hall 'F -4 2 3'
loop_
_atom_site_label
_atom_site_fract_x
_atom_site_fract_y
_atom_site_fract_z
Pm1 0.000 0.000 0.000
Be1 0.000 0.000 0.500
Ir1 0.250 0.250 0.250
# Total moment, μB per cell: 0.0

***

The data favor <2>; the next most stable structure lies 0.699 eV/atom above it.

***

<1>
# PmBeIr | OQMD | PBE | optimized geometry
data_PmBeIr
_chemical_formula_sum 'Pm1 Be1 Ir1'
_cell_length_a 3.9550
_cell_length_b 3.9550
_cell_length_c 4.1564
_cell_angle_alpha 90.00
_cell_angle_beta 90.00
_cell_angle_gamma 120.00
_space_group_name_H-M_alt 'P -6 m 2'
_space_group_IT_number 187
_space_group_name_Hall 'P -6 2'
loop_
_atom_site_label
_atom_site_fract_x
_atom_site_fract_y
_atom_site_fract_z
Pm1 0.0000 0.0000 0.0000
Be1 0.6667 0.3333 0.5000
Ir1 0.3333 0.6667 0.5000
# Total moment, μB per cell: 0.0

***

<2>
# PmBeIr | OQMD | PBE | optimized geometry
data_PmBeIr
_chemical_formula_sum 'Pm4 Be4 Ir4'
_cell_length_a 6.091
_cell_length_b 6.091
_cell_length_c 6.091
_cell_angle_alpha 90.00
_cell_angle_beta 90.00
_cell_angle_gamma 90.00
_space_group_name_H-M_alt 'F -4 3 m'
_space_group_IT_number 216
_space_group_name_Hall 'F -4 2 3'
loop_
_atom_site_label
_atom_site_fract_x
_atom_site_fract_y
_atom_site_fract_z
Pm1 0.000 0.000 0.000
Be1 0.250 0.250 0.750
Ir1 0.000 0.000 0.500
# Total moment, μB per cell: 0.0

***

The data favor <1>; the next most stable structure lies 0.474 eV/atom above it.

***

<1>
# PrBeIr | OQMD | PBE | optimized geometry
data_PrBeIr
_chemical_formula_sum 'Pr4 Be4 Ir4'
_cell_length_a 6.444
_cell_length_b 6.444
_cell_length_c 6.444
_cell_angle_alpha 90.00
_cell_angle_beta 90.00
_cell_angle_gamma 90.00
_space_group_name_H-M_alt 'F -4 3 m'
_space_group_IT_number 216
_space_group_name_Hall 'F -4 2 3'
loop_
_atom_site_label
_atom_site_fract_x
_atom_site_fract_y
_atom_site_fract_z
Pr1 0.000 0.000 0.000
Be1 0.000 0.000 0.500
Ir1 0.250 0.250 0.750
# Total moment, μB per cell: 0.0

***

<2>
# PrBeIr | OQMD | PBE | optimized geometry
data_PrBeIr
_chemical_formula_sum 'Pr4 Be4 Ir4'
_cell_length_a 6.169
_cell_length_b 6.169
_cell_length_c 6.169
_cell_angle_alpha 90.00
_cell_angle_beta 90.00
_cell_angle_gamma 90.00
_space_group_name_H-M_alt 'F -4 3 m'
_space_group_IT_number 216
_space_group_name_Hall 'F -4 2 3'
loop_
_atom_site_label
_atom_site_fract_x
_atom_site_fract_y
_atom_site_fract_z
Pr1 0.000 0.000 0.000
Be1 0.250 0.250 0.750
Ir1 0.000 0.000 0.500
# Total moment, μB per cell: 0.0

***

<3>
# PrBeIr | OQMD | PBE | optimized geometry
data_PrBeIr
_chemical_formula_sum 'Pr4 Be4 Ir4'
_cell_length_a 6.596
_cell_length_b 6.596
_cell_length_c 6.596
_cell_angle_alpha 90.00
_cell_angle_beta 90.00
_cell_angle_gamma 90.00
_space_group_name_H-M_alt 'F -4 3 m'
_space_group_IT_number 216
_space_group_name_Hall 'F -4 2 3'
loop_
_atom_site_label
_atom_site_fract_x
_atom_site_fract_y
_atom_site_fract_z
Pr1 0.000 0.000 0.000
Be1 0.250 0.250 0.750
Ir1 0.250 0.250 0.250
# Total moment, μB per cell: 0.0

***

The data favor <2>; the next most stable structure lies 0.072 eV/atom above it.

***

<1>
# PuBeIr | OQMD | PBE | optimized geometry
data_PuBeIr
_chemical_formula_sum 'Pu4 Be4 Ir4'
_cell_length_a 5.972
_cell_length_b 5.972
_cell_length_c 5.972
_cell_angle_alpha 90.00
_cell_angle_beta 90.00
_cell_angle_gamma 90.00
_space_group_name_H-M_alt 'F -4 3 m'
_space_group_IT_number 216
_space_group_name_Hall 'F -4 2 3'
loop_
_atom_site_label
_atom_site_fract_x
_atom_site_fract_y
_atom_site_fract_z
Pu1 0.000 0.000 0.000
Be1 0.250 0.250 0.750
Ir1 0.000 0.000 0.500
# Total moment, μB per cell: 20.9

***

<2>
# PuBeIr | OQMD | PBE | optimized geometry
data_PuBeIr
_chemical_formula_sum 'Pu4 Be4 Ir4'
_cell_length_a 6.280
_cell_length_b 6.280
_cell_length_c 6.280
_cell_angle_alpha 90.00
_cell_angle_beta 90.00
_cell_angle_gamma 90.00
_space_group_name_H-M_alt 'F -4 3 m'
_space_group_IT_number 216
_space_group_name_Hall 'F -4 2 3'
loop_
_atom_site_label
_atom_site_fract_x
_atom_site_fract_y
_atom_site_fract_z
Pu1 0.000 0.000 0.000
Be1 0.250 0.250 0.750
Ir1 0.250 0.250 0.250
# Total moment, μB per cell: 20.0

***

The data favor <1>; the next most stable structure lies 0.673 eV/atom above it.

***

<1>
# SrBeSbIr | OQMD | PBE | optimized geometry
data_SrBeSbIr
_chemical_formula_sum 'Sr4 Be4 Sb4 Ir4'
_cell_length_a 6.748
_cell_length_b 6.748
_cell_length_c 6.748
_cell_angle_alpha 90.00
_cell_angle_beta 90.00
_cell_angle_gamma 90.00
_space_group_name_H-M_alt 'F -4 3 m'
_space_group_IT_number 216
_space_group_name_Hall 'F -4 2 3'
loop_
_atom_site_label
_atom_site_fract_x
_atom_site_fract_y
_atom_site_fract_z
Sr1 0.000 0.000 0.000
Be1 0.250 0.250 0.750
Sb1 0.250 0.250 0.250
Ir1 0.000 0.000 0.500
# Total moment, μB per cell: 0.0

***

<2>
# SrBeSbIr | OQMD | PBE | optimized geometry
data_SrBeSbIr
_chemical_formula_sum 'Sr4 Be4 Sb4 Ir4'
_cell_length_a 6.893
_cell_length_b 6.893
_cell_length_c 6.893
_cell_angle_alpha 90.00
_cell_angle_beta 90.00
_cell_angle_gamma 90.00
_space_group_name_H-M_alt 'F -4 3 m'
_space_group_IT_number 216
_space_group_name_Hall 'F -4 2 3'
loop_
_atom_site_label
_atom_site_fract_x
_atom_site_fract_y
_atom_site_fract_z
Sr1 0.000 0.000 0.000
Be1 0.000 0.000 0.500
Sb1 0.250 0.250 0.250
Ir1 0.250 0.250 0.750
# Total moment, μB per cell: 0.0

***

The data favor <1>; the next most stable structure lies 0.320 eV/atom above it.

***

<1>
# ScBeSiIr | OQMD | PBE | optimized geometry
data_ScBeSiIr
_chemical_formula_sum 'Sc4 Be4 Si4 Ir4'
_cell_length_a 6.095
_cell_length_b 6.095
_cell_length_c 6.095
_cell_angle_alpha 90.00
_cell_angle_beta 90.00
_cell_angle_gamma 90.00
_space_group_name_H-M_alt 'F -4 3 m'
_space_group_IT_number 216
_space_group_name_Hall 'F -4 2 3'
loop_
_atom_site_label
_atom_site_fract_x
_atom_site_fract_y
_atom_site_fract_z
Sc1 0.000 0.000 0.000
Be1 0.000 0.000 0.500
Si1 0.250 0.250 0.750
Ir1 0.250 0.250 0.250
# Total moment, μB per cell: 0.0

***

<2>
# ScBeSiIr | OQMD | PBE | optimized geometry
data_ScBeSiIr
_chemical_formula_sum 'Sc4 Be4 Si4 Ir4'
_cell_length_a 6.015
_cell_length_b 6.015
_cell_length_c 6.015
_cell_angle_alpha 90.00
_cell_angle_beta 90.00
_cell_angle_gamma 90.00
_space_group_name_H-M_alt 'F -4 3 m'
_space_group_IT_number 216
_space_group_name_Hall 'F -4 2 3'
loop_
_atom_site_label
_atom_site_fract_x
_atom_site_fract_y
_atom_site_fract_z
Sc1 0.000 0.000 0.000
Be1 0.250 0.250 0.250
Si1 0.250 0.250 0.750
Ir1 0.000 0.000 0.500
# Total moment, μB per cell: 0.0

***

<3>
# ScBeSiIr | OQMD | PBE | optimized geometry
data_ScBeSiIr
_chemical_formula_sum 'Sc4 Be4 Si4 Ir4'
_cell_length_a 6.052
_cell_length_b 6.052
_cell_length_c 6.052
_cell_angle_alpha 90.00
_cell_angle_beta 90.00
_cell_angle_gamma 90.00
_space_group_name_H-M_alt 'F -4 3 m'
_space_group_IT_number 216
_space_group_name_Hall 'F -4 2 3'
loop_
_atom_site_label
_atom_site_fract_x
_atom_site_fract_y
_atom_site_fract_z
Sc1 0.000 0.000 0.000
Be1 0.250 0.250 0.250
Si1 0.000 0.000 0.500
Ir1 0.250 0.250 0.750
# Total moment, μB per cell: 0.0

***

The data favor <2>; the next most stable structure lies 0.114 eV/atom above it.

***

<1>
# BeSiIr2 | OQMD | PBE | optimized geometry
data_BeSiIr2
_chemical_formula_sum 'Be6 Si6 Ir12'
_cell_length_a 4.090
_cell_length_b 12.271
_cell_length_c 5.783
_cell_angle_alpha 90.00
_cell_angle_beta 90.00
_cell_angle_gamma 90.00
_space_group_name_H-M_alt 'P n n m'
_space_group_IT_number 58
loop_
_space_group_symop_operation_xyz
'x,y,z'
'-x,-y,-z'
'-x,-y,z'
'x,y,-z'
'x+1/2,-y+1/2,-z+1/2'
'-x+1/2,y+1/2,z+1/2'
'-x+1/2,y+1/2,-z+1/2'
'x+1/2,-y+1/2,z+1/2'
loop_
_atom_site_label
_atom_site_fract_x
_atom_site_fract_y
_atom_site_fract_z
Be1 0.000 0.000 0.000
Be2 0.002 0.333 0.000
Si1 0.000 0.000 0.500
Si2 0.001 0.333 0.500
Ir1 0.000 0.500 0.250
Ir2 0.001 0.167 0.250
# Total moment, μB per cell: 0.0

***

<2>
# BeSiIr2 | OQMD | PBE | optimized geometry
data_BeSiIr2
_chemical_formula_sum 'Be2 Si2 Ir4'
_cell_length_a 3.8024
_cell_length_b 3.8024
_cell_length_c 8.9844
_cell_angle_alpha 90.00
_cell_angle_beta 90.00
_cell_angle_gamma 120.00
_space_group_name_H-M_alt 'P 63/m m c'
_space_group_IT_number 194
_space_group_name_Hall '-P 6c 2c'
loop_
_atom_site_label
_atom_site_fract_x
_atom_site_fract_y
_atom_site_fract_z
Be1 0.3333 0.6667 0.2500
Si1 0.0000 0.0000 0.0000
Ir1 0.3333 0.6667 0.6101
# Total moment, μB per cell: 0.0

***

The data favor <1>; the next most stable structure lies 0.421 eV/atom above it.